Entry 1:
# LiTlZn2 | Alexandria | PBE-GGA | optimized geometry
data_LiTlZn2
_chemical_formula_sum 'Li1 Tl1 Zn2'
_cell_length_a 3.475
_cell_length_b 3.851
_cell_length_c 5.691
_cell_angle_alpha 90.00
_cell_angle_beta 90.00
_cell_angle_gamma 90.00
_symmetry_space_group_name_H-M 'P m m m'
_symmetry_Int_Tables_number 47
loop_
_symmetry_equiv_pos_as_xyz
'x,y,z'
'-x,-y,-z'
'-x,-y,z'
'x,y,-z'
'x,-y,-z'
'-x,y,z'
'-x,y,-z'
'x,-y,z'
loop_
_atom_site_label
_atom_site_fract_x
_atom_site_fract_y
_atom_site_fract_z
Li1 0.000 0.000 0.000
Tl1 0.000 0.000 0.500
Zn1 0.500 0.500 0.226
# - DFT formation energy (eV/atom) = 0.00

Entry 2:
# LiTlZn2 | Alexandria | PBE-GGA | optimized geometry
data_LiTlZn2
_chemical_formula_sum 'Li2 Tl2 Zn4'
_cell_length_a 9.633
_cell_length_b 3.561
_cell_length_c 4.528
_cell_angle_alpha 90.00
_cell_angle_beta 105.50
_cell_angle_gamma 90.00
_symmetry_space_group_name_H-M 'C 1 2/m 1'
_symmetry_Int_Tables_number 12
loop_
_symmetry_equiv_pos_as_xyz
'x,y,z'
'-x,-y,-z'
'-x,y,-z'
'x,-y,z'
'x+1/2,y+1/2,z'
'-x+1/2,-y+1/2,-z'
'-x+1/2,y+1/2,-z'
'x+1/2,-y+1/2,z'
loop_
_atom_site_label
_atom_site_fract_x
_atom_site_fract_y
_atom_site_fract_z
Li1 0.000 0.000 0.000
Tl1 0.000 0.500 0.500
Zn1 0.240 0.500 0.218
# - DFT formation energy (eV/atom) = -0.01

Entry 3:
# LiTlZn2 | Alexandria | PBE-GGA | optimized geometry
data_LiTlZn2
_chemical_formula_sum 'Li3 Tl3 Zn6'
_cell_length_a 3.1622
_cell_length_b 3.1622
_cell_length_c 28.1311
_cell_angle_alpha 90.00
_cell_angle_beta 90.00
_cell_angle_gamma 120.00
_symmetry_space_group_name_H-M 'R -3 m'
_symmetry_Int_Tables_number 166
_symmetry_space_group_name_Hall '-R 3 2"'
loop_
_atom_site_label
_atom_site_fract_x
_atom_site_fract_y
_atom_site_fract_z
Li1 0.0000 0.0000 0.0000
Tl1 0.0000 0.0000 0.5000
Zn1 0.0000 0.0000 0.2584
# - DFT formation energy (eV/atom) = 0.08

Entry 4:
# Li2TlZn | Alexandria | PBE-GGA | optimized geometry
data_Li2TlZn
_chemical_formula_sum 'Li6 Tl3 Zn3'
_cell_length_a 3.2645
_cell_length_b 3.2645
_cell_length_c 26.2698
_cell_angle_alpha 90.00
_cell_angle_beta 90.00
_cell_angle_gamma 120.00
_symmetry_space_group_name_H-M 'R 3 m'
_symmetry_Int_Tables_number 160
_symmetry_space_group_name_Hall 'R 3 -2"'
loop_
_atom_site_label
_atom_site_fract_x
_atom_site_fract_y
_atom_site_fract_z
Li1 0.0000 0.0000 0.0000
Li2 0.0000 0.0000 0.1765
Tl1 0.0000 0.0000 0.4217
Zn1 0.0000 0.0000 0.5876
# - DFT formation energy (eV/atom) = -0.06